{
  "formula": "LaTb12Nd7",
  "functional": "PBE-GGA",
  "state": "optimized geometry",
  "cell": [[-5.709, 5.709, 5.709], [5.709, -5.709, 5.709], [5.709, 5.709, -5.709]],
  "species": ["La", "Tb", "Tb", "Tb", "Tb", "Tb", "Tb", "Tb", "Tb", "Tb", "Tb", "Tb", "Tb", "Nd", "Nd", "Nd", "Nd", "Nd", "Nd", "Nd"],
  "frac_coords": [[0.000, 0.000, 0.000], [0.000, 0.252, 0.748], [0.000, 0.748, 0.252], [0.252, 0.000, 0.748], [0.252, 0.252, 0.504], [0.252, 0.504, 0.252], [0.252, 0.748, 0.000], [0.496, 0.748, 0.748], [0.504, 0.252, 0.252], [0.748, 0.000, 0.252], [0.748, 0.252, 0.000], [0.748, 0.496, 0.748], [0.748, 0.748, 0.496], [0.000, 0.000, 0.500], [0.000, 0.500, 0.000], [0.000, 0.500, 0.500], [0.500, 0.000, 0.000], [0.500, 0.000, 0.500], [0.500, 0.500, 0.000], [0.500, 0.500, 0.500]],
  "magmom_total_mub_per_fu": 0.0,
  "e_form_ev_per_atom": 0.608,
  "dos_at_fermi_per_ev_fu": 29.36,
  "de_polymorph_kj_per_mol_atoms": 37.01,
  "sg": "No. 229"
}


{
  "formula": "La3Tb4Nd",
  "functional": "PBE-GGA",
  "state": "optimized geometry",
  "cell": [[-1.754, 5.939, 6.643], [1.754, -5.939, 6.643], [1.754, 5.939, -6.643]],
  "species": ["La", "La", "La", "Tb", "Tb", "Tb", "Tb", "Nd"],
  "frac_coords": [[0.000, 0.000, 0.000], [0.258, 0.758, 0.500], [0.742, 0.242, 0.500], [0.117, 0.366, 0.752], [0.386, 0.634, 0.752], [0.614, 0.366, 0.248], [0.883, 0.634, 0.248], [0.500, 0.500, 0.000]],
  "magmom_total_mub_per_fu": 0.0,
  "e_form_ev_per_atom": 0.128,
  "dos_at_fermi_per_ev_fu": 13.68,
  "de_polymorph_kj_per_mol_atoms": 9.07,
  "sg": "No. 71"
}


{
  "formula": "La4Tb3Nd8",
  "functional": "PBE-GGA",
  "state": "optimized geometry",
  "cell": [[6.903, -6.525, 0.000], [6.903, 6.525, 0.000], [-3.487, 0.000, 6.001]],
  "species": ["La", "La", "La", "La", "Tb", "Tb", "Tb", "Nd", "Nd", "Nd", "Nd", "Nd", "Nd", "Nd", "Nd"],
  "frac_coords": [[0.000, 0.000, 0.000], [0.000, 0.000, 0.500], [0.000, 0.500, 0.000], [0.500, 0.000, 0.000], [0.000, 0.500, 0.500], [0.500, 0.000, 0.500], [0.500, 0.500, 0.000], [0.255, 0.745, 0.000], [0.262, 0.262, 0.515], [0.273, 0.273, 0.053], [0.356, 0.644, 0.500], [0.644, 0.356, 0.500], [0.727, 0.727, 0.947], [0.738, 0.738, 0.485], [0.745, 0.255, 0.000]],
  "magmom_total_mub_per_fu": 0.0,
  "e_form_ev_per_atom": 0.315,
  "dos_at_fermi_per_ev_fu": 28.96,
  "sg": "No. 12"
}


{
  "formula": "La6Tb8Nd",
  "functional": "PBE-GGA",
  "state": "optimized geometry",
  "cell": [[4.593, 2.652, 7.099], [-4.593, 2.652, 7.099], [0.000, -5.303, 7.099]],
  "species": ["La", "La", "La", "La", "La", "La", "Tb", "Tb", "Tb", "Tb", "Tb", "Tb", "Tb", "Tb", "Nd"],
  "frac_coords": [[0.034, 0.734, 0.594], [0.266, 0.406, 0.966], [0.406, 0.966, 0.266], [0.594, 0.034, 0.734], [0.734, 0.594, 0.034], [0.966, 0.266, 0.406], [0.077, 0.077, 0.077], [0.206, 0.261, 0.614], [0.261, 0.614, 0.206], [0.386, 0.794, 0.739], [0.614, 0.206, 0.261], [0.739, 0.386, 0.794], [0.794, 0.739, 0.386], [0.923, 0.923, 0.923], [0.500, 0.500, 0.500]],
  "magmom_total_mub_per_fu": 0.0,
  "e_form_ev_per_atom": 0.113,
  "dos_at_fermi_per_ev_fu": 23.67,
  "sg": "No. 148"
}


Number 1: total DFT energy (no corrections) -4.085 eV/atom. Number 2: total DFT energy (no corrections) -4.631 eV/atom. Number 3: total DFT energy (no corrections) -4.468 eV/atom. Number 4: total DFT energy (no corrections) -4.645 eV/atom.